Density functional theory data (PBE-GGA) for a relaxed SrLiPd4 crystal.

a = 5.4423 Å, b = 5.4423 Å, c = 5.4423 Å
α = 60.00°, β = 60.00°, γ = 60.00°
Fractional coordinates of all 6 atoms:
Pd 0.6254 0.1237 0.6254
Pd 0.6254 0.6254 0.1237
Pd 0.6254 0.6254 0.6254
Li 0.0000 0.0000 0.0000
Pd 0.1237 0.6254 0.6254
Sr 0.2500 0.2500 0.2500

Calculated values
Magnetic moment ... 0.00 μB/cell
D(E_F) ... 0.88 states/eV per atom
Crystal system ... cubic
Energy of formation from the pure elements ... -10.81 kcal/mol of atoms
Space-group type ... F-43m